# Sc2InGa2

A geometry-optimized Sc2InGa2 structure (PBE-GGA, the Alexandria database).

## Properties
Its total energy is -4.828 eV per atom. As for the energy above the most stable polymorph in this dataset: 0.013 eV per atom. For the spin magnetization, the calculation gives 0.0 Bohr magnetons per cell. The energy of formation is -12.39 kcal/mol of atoms. Its space group is Cmmm (65).

```
Sc2InGa2
1.0
2.125 -7.096 0.000
2.125 7.096 0.000
0.000 0.000 3.264
Sc In Ga
2 1 2
direct
0.122 0.878 0.000 Sc
0.878 0.122 0.000 Sc
0.500 0.500 0.500 In
0.300 0.700 0.500 Ga
0.700 0.300 0.500 Ga
```